Entry 1:
A plane-wave DFT calculation with PBE was carried out for a relaxed structure of Co2CuNi6.

crystal system: monoclinic
polymorph energy (0 for the lowest one): 0.0 kJ per mole of atoms

Lattice parameters (Å, degrees): 6.628 4.149 7.327 90.00 96.99 90.00
Space group C2/m (No. 12)
One atom of each set of equivalent atoms:
Co: 0.167 0.000 0.445
Cu: 0.000 0.500 0.000
Ni: 0.002 0.500 0.335
Ni: 0.163 0.000 0.775
Ni: 0.168 0.000 0.113

Entry 2:
A plane-wave DFT calculation with PBE was carried out for a relaxed structure of LaPrNd2.

crystal system: trigonal
polymorph energy (0 for the lowest one): 61.1 kJ per mole of atoms

Lattice parameters (Å, degrees): 5.2177 5.2177 6.5590 90.00 90.00 120.00
Space group P-3m1 (No. 164)
One atom of each set of equivalent atoms:
La: 0.0000 0.0000 0.0000
Pr: 0.0000 0.0000 0.5000
Nd: 0.3333 0.6667 0.2529

Entry 3:
A plane-wave DFT calculation with PBE was carried out for a relaxed structure of InAsAu2.

crystal system: tetragonal

Lattice parameters (Å, degrees): 4.286 4.286 8.608 90.00 90.00 90.00
Space group I-4m2 (No. 119)
One atom of each set of equivalent atoms:
In: 0.000 0.000 0.000
As: 0.000 0.500 0.750
Au: 0.000 0.000 0.500
Au: 0.000 0.500 0.250

Number 1: calculated formation energy 0.10 eV/atom. Number 2: calculated formation energy 0.64 eV/atom. Number 3: calculated formation energy 0.09 eV/atom.